[1]
DFT (PBE-GGA) results for an optimized crystal structure of VFe5Co2Mo2.

CIF file:
```
data_VFe5Co2Mo2
_chemical_formula_sum 'V2 Fe10 Co4 Mo4'
_cell_length_a 8.172
_cell_length_b 8.172
_cell_length_c 3.702
_cell_angle_alpha 90.00
_cell_angle_beta 90.00
_cell_angle_gamma 90.00
_symmetry_space_group_name_H-M 'P 4/m b m'
_symmetry_Int_Tables_number 127
_symmetry_space_group_name_Hall '-P 4 2ab'
loop_
_atom_site_label
_atom_site_type_symbol
_atom_site_fract_x
_atom_site_fract_y
_atom_site_fract_z
_atom_site_occupancy
V1 V 0.000 0.000 0.000 1
Fe1 Fe 0.000 0.500 0.500 1
Fe2 Fe 0.064 0.202 0.500 1
Co1 Co 0.128 0.372 0.000 1
Mo1 Mo 0.169 0.669 0.000 1
```

[2]
# SrCr2Os | Alexandria via LeMat-Bulk | PBE-GGA | relaxed
# **Energy relative to the lowest polymorph listed for this composition**: 117 meV/atom
data_SrCr2Os
_chemical_formula_sum 'Sr1 Cr2 Os1'
_cell_length_a 3.328
_cell_length_b 3.328
_cell_length_c 7.070
_cell_angle_alpha 90.00
_cell_angle_beta 90.00
_cell_angle_gamma 90.00
_symmetry_space_group_name_H-M 'P 4/m m m'
_symmetry_Int_Tables_number 123
_symmetry_space_group_name_Hall '-P 4 2'
loop_
_atom_site_label
_atom_site_type_symbol
_atom_site_fract_x
_atom_site_fract_y
_atom_site_fract_z
_atom_site_occupancy
Sr1 Sr 0.000 0.000 0.000 1
Cr1 Cr 0.500 0.500 0.357 1
Os1 Os 0.000 0.000 0.500 1

[3]
# Ce2LuZn | Alexandria via LeMat-Bulk | PBE-GGA | relaxed
# **Energy relative to the lowest polymorph listed for this composition**: 14 meV/atom
data_Ce2LuZn
_chemical_formula_sum 'Ce2 Lu1 Zn1'
_cell_length_a 3.754
_cell_length_b 3.754
_cell_length_c 7.615
_cell_angle_alpha 90.00
_cell_angle_beta 90.00
_cell_angle_gamma 90.00
_symmetry_space_group_name_H-M 'P 4/m m m'
_symmetry_Int_Tables_number 123
_symmetry_space_group_name_Hall '-P 4 2'
loop_
_atom_site_label
_atom_site_type_symbol
_atom_site_fract_x
_atom_site_fract_y
_atom_site_fract_z
_atom_site_occupancy
Ce1 Ce 0.000 0.000 0.203 1
Lu1 Lu 0.500 0.500 0.500 1
Zn1 Zn 0.500 0.500 0.000 1

[4]
# CaLaOs | Alexandria via LeMat-Bulk | PBE-GGA | relaxed
# **Energy relative to the lowest polymorph listed for this composition**: 0 meV/atom
data_CaLaOs
_chemical_formula_sum 'Ca8 La8 Os8'
_cell_length_a 7.034
_cell_length_b 12.370
_cell_length_c 7.860
_cell_angle_alpha 90.00
_cell_angle_beta 90.00
_cell_angle_gamma 90.00
_symmetry_space_group_name_H-M 'C m c e'
_symmetry_Int_Tables_number 64
_symmetry_space_group_name_Hall '-C 2ac 2'
loop_
_atom_site_label
_atom_site_type_symbol
_atom_site_fract_x
_atom_site_fract_y
_atom_site_fract_z
_atom_site_occupancy
Ca1 Ca 0.250 0.034 0.250 1
La1 La 0.000 0.208 0.612 1
Os1 Os 0.000 0.105 0.965 1

Respective DFT formation energy values: 128, 708, -6, 80 meV per atom.
Respective mass density values: 8.595, 8.097, 8.055, 7.172 g/cm3.